Record 1
Below is a relaxed structure of Tm3Ga3Ni2Ge, with properties calculated at the PBE-GGA level.

## Properties
Crystal system: hexagonal
Symmetry: P-62m, No. 189

```
Tm3Ga3Ni2Ge
1.0
7.167 0.000 0.000
-3.583 6.206 0.000
0.000 0.000 3.739
Tm Ga Ni Ge
3 3 2 1
Direct
0.000 0.599 0.000 Tm
0.401 0.401 0.000 Tm
0.599 0.000 0.000 Tm
0.000 0.278 0.500 Ga
0.278 0.000 0.500 Ga
0.722 0.722 0.500 Ga
0.333 0.667 0.500 Ni
0.667 0.333 0.500 Ni
0.000 0.000 0.000 Ge
```

=====

Record 2
Below is a relaxed structure of PaRePO, with properties calculated at the PBE-GGA level.

## Properties
Crystal system: tetragonal
Symmetry: P4/nmm, No. 129

```
PaRePO
1.0
4.016 0.000 0.000
0.000 4.016 0.000
0.000 0.000 8.022
Pa Re P O
2 2 2 2
Direct
0.250 0.250 0.165 Pa
0.750 0.750 0.835 Pa
0.250 0.750 0.500 Re
0.750 0.250 0.500 Re
0.250 0.250 0.661 P
0.750 0.750 0.339 P
0.250 0.750 0.000 O
0.750 0.250 0.000 O
```

=====

Record 3
Below is a relaxed structure of AlCdGaS4, with properties calculated at the PBE-GGA level.

## Properties
Crystal system: tetragonal
Symmetry: P4_122, No. 91

```
AlCdGaS4
1.0
7.376 0.000 0.000
0.000 7.376 0.000
0.000 0.000 10.262
Al Cd Ga S
4 4 4 16
Direct
0.000 0.255 0.000 Al
0.000 0.745 0.500 Al
0.255 0.000 0.750 Al
0.745 0.000 0.250 Al
0.255 0.500 0.750 Cd
0.500 0.255 0.000 Cd
0.500 0.745 0.500 Cd
0.745 0.500 0.250 Cd
0.239 0.239 0.375 Ga
0.239 0.761 0.125 Ga
0.761 0.239 0.625 Ga
0.761 0.761 0.875 Ga
0.016 0.231 0.764 S
0.016 0.769 0.736 S
0.231 0.016 0.986 S
0.231 0.489 0.011 S
0.231 0.511 0.489 S
0.231 0.984 0.514 S
0.489 0.231 0.739 S
0.489 0.769 0.761 S
0.511 0.231 0.261 S
0.511 0.769 0.239 S
0.769 0.016 0.014 S
0.769 0.489 0.989 S
0.769 0.511 0.511 S
0.769 0.984 0.486 S
0.984 0.231 0.236 S
0.984 0.769 0.264 S
```

=====

Record 4
Below is a relaxed structure of SrHgTeO, with properties calculated at the PBE-GGA level.

## Properties
Crystal system: orthorhombic
Symmetry: Cmcm, No. 63

```
SrHgTeO
1.0
2.092 -7.675 0.000
2.092 7.675 0.000
0.000 0.000 6.253
Sr Hg Te O
2 2 2 2
Direct
0.071 0.929 0.750 Sr
0.929 0.071 0.250 Sr
0.388 0.612 0.750 Hg
0.612 0.388 0.250 Hg
0.222 0.778 0.250 Te
0.778 0.222 0.750 Te
0.500 0.500 0.000 O
0.500 0.500 0.500 O
```

=====

For reference, energy above the most stable polymorph in this dataset by record: 0; 0; 110; 254 meV/atom.
For reference, energy by record: -4.86; -9.26; -4.18; -3.56 eV/atom.